# 1
VASP calculation (PBE) on a geometry-optimized V2PtRh6 structure.

Computed properties:
crystal system	monoclinic
energy of formation	-300	meV per atom
Fermi-level density of states	22.419	states/eV/cell

abc: 8.519 3.864 8.102
angles: 90.00 108.03 90.00
Space group C2/m (No. 12)
Asymmetric unit:
V: 0.171 0.000 0.225
Pt: 0.000 0.500 0.000
Rh: 0.001 0.500 0.668
Rh: 0.165 0.000 0.887
Rh: 0.168 0.000 0.553



# 2
VASP calculation (PBE) on a geometry-optimized Cs3Sb2Br9 structure.

Computed properties:
crystal system	trigonal
Fermi-level density of states	0.000	states/eV/cell
energy relative to the lowest polymorph listed for this composition	0.000	eV/atom

abc: 8.1299 8.1299 9.9385
angles: 90.00 90.00 120.00
Space group P-3m1 (No. 164)
Asymmetric unit:
Cs: 0.0000 0.0000 0.0000
Cs: 0.3333 0.6667 0.3302
Sb: 0.3333 0.6667 0.8159
Br: 0.0000 0.5000 0.0000
Br: 0.1736 0.3471 0.6670



# 3
VASP calculation (PBE) on a geometry-optimized SbSeI structure.

Computed properties:
crystal system	orthorhombic
VASP energy	-38.592	eV per cell

abc: 5.964 24.629 3.876
angles: 90.00 90.00 90.00
Space group Pmmn (No. 59, origin choice 2)
Asymmetric unit:
Sb: 0.250 0.116 0.244
Se: 0.250 0.044 0.744
I: 0.250 0.647 0.759



# 4
VASP calculation (PBE) on a geometry-optimized Cs3DyAg2I9 structure.

Computed properties:
crystal system	trigonal
VASP energy	-42.375	eV per cell
Fermi-level density of states	6.292	states/eV/cell

abc: 8.4808 8.4808 10.5528
angles: 90.00 90.00 120.00
Space group P-3m1 (No. 164)
Asymmetric unit:
Cs: 0.0000 0.0000 0.0000
Cs: 0.3333 0.6667 0.6755
Dy: 0.0000 0.0000 0.5000
Ag: 0.3333 0.6667 0.1508
I: 0.0000 0.5000 0.0000
I: 0.1681 0.3362 0.3346



# 5
VASP calculation (PBE) on a geometry-optimized Rb2Hg10Pb structure.

Computed properties:
crystal system	orthorhombic
energy of formation	-91	meV per atom
Fermi-level density of states	11.876	states/eV/cell

abc: 10.905 12.761 6.925
angles: 90.00 90.00 90.00
Space group Pbam (No. 55)
Asymmetric unit:
Rb: 0.231 0.072 0.000
Hg: 0.046 0.628 0.500
Hg: 0.082 0.810 0.213
Hg: 0.180 0.202 0.500
Hg: 0.221 0.441 0.500
Pb: 0.000 0.000 0.500



# 6
VASP calculation (PBE) on a geometry-optimized Tm5Mg2Rh2 structure.

Computed properties:
crystal system	orthorhombic
energy of formation	-434	meV per atom
Fermi-level density of states	29.839	states/eV/cell

abc: 17.053 7.367 7.387
angles: 90.00 90.00 90.00
Space group Cmce (No. 64)
Asymmetric unit:
Tm: 0.000 0.000 0.000
Tm: 0.112 0.173 0.329
Mg: 0.225 0.000 0.000
Rh: 0.000 0.135 0.635